Computed, not measured: a relaxed structure of Sc2ZnIr at the GGA-PBE level of DFT.

The structure in POSCAR format:
```
Sc2ZnIr
1.0
3.122 0.000 0.000
0.000 4.280 0.000
0.000 0.000 5.572
Zn Sc Ir
1 2 1
Direct
0.000 0.000 0.466
0.500 0.500 0.284
0.000 0.000 0.946
0.500 0.500 0.803
```

ΔE_f = -0.403 eV/atom
SG = Pmm2

Computed, not measured: a relaxed structure of CsK2GaHg at the GGA-PBE level of DFT.

The structure in POSCAR format:
```
CsK2GaHg
1.0
6.822 0.000 0.000
0.000 6.822 0.000
0.000 0.000 5.400
Hg Ga K Cs
1 1 2 1
Direct
0.000 0.000 0.000
0.000 0.000 0.500
0.000 0.500 0.000
0.500 0.000 0.000
0.500 0.500 0.500
```

ΔE_f = 0.001 eV/atom
SG = P4/mmm

Computed, not measured: a relaxed structure of YLuBe at the GGA-PBE level of DFT.

The structure in POSCAR format:
```
YLuBe
1.0
-2.236 -1.520 -2.097
0.737 -3.029 1.410
-3.585 3.095 4.371
Lu Be Y
1 1 1
Direct
0.300 0.300 0.600
0.671 0.671 0.343
0.029 0.029 0.057
```

ΔE_f = 0.063 eV/atom
SG = I4mm

Computed, not measured: a relaxed structure of BeBCl2 at the GGA-PBE level of DFT.

The structure in POSCAR format:
```
BeBCl2
1.0
-1.656 4.229 7.470
-3.040 1.465 8.065
0.051 1.814 8.552
Be B Cl
1 1 2
Direct
0.500 0.500 0.500
0.000 0.000 0.000
0.117 0.117 0.117
0.883 0.883 0.883
```

raw formation energy = 0.3939 eV per atom
SG = R-3m

Computed, not measured: a relaxed structure of ScIn2Ru at the GGA-PBE level of DFT.

The structure in POSCAR format:
```
ScIn2Ru
1.0
9.460 -0.023 -0.013
8.905 3.193 -0.013
8.905 1.537 2.798
In Sc Ru
2 1 1
Direct
0.238 0.238 0.238
0.001 0.001 0.001
0.765 0.765 0.765
0.496 0.496 0.496
```

ΔE_f = -0.058 eV/atom
SG = R3m

Computed, not measured: a relaxed structure of Li3Zn6Pd at the GGA-PBE level of DFT.

The structure in POSCAR format:
```
Li3Zn6Pd
1.0
-2.306 6.431 -0.322
-3.220 -2.321 5.570
6.338 0.947 2.390
Li Pd Zn
6 2 12
Direct
0.665 0.666 0.925
0.666 0.925 0.665
0.335 0.334 0.075
0.925 0.665 0.666
0.334 0.075 0.335
0.075 0.335 0.334
0.500 0.500 0.500
0.000 0.000 0.000
0.098 0.677 0.100
0.501 0.248 0.753
0.499 0.752 0.247
0.677 0.100 0.098
0.247 0.499 0.752
0.100 0.098 0.677
0.900 0.902 0.323
0.902 0.323 0.900
0.752 0.247 0.499
0.248 0.753 0.501
0.323 0.900 0.902
0.753 0.501 0.248
```

ΔE_f = -0.249 eV/atom
SG = R-3

Computed, not measured: a relaxed structure of Be2Pd2Ru at the GGA-PBE level of DFT.

The structure in POSCAR format:
```
Be2Pd2Ru
1.0
-1.480 2.687 -1.317
-1.777 0.394 2.799
2.600 4.950 2.946
Be Pd Ru
2 2 1
Direct
0.250 0.750 0.500
0.750 0.250 0.500
0.385 0.385 0.230
0.615 0.615 0.770
0.000 0.000 0.000
```

ΔE_f = 0.206 eV/atom
SG = I4/mmm

Computed, not measured: a relaxed structure of SmRe2Si2B at the GGA-PBE level of DFT.

The structure in POSCAR format:
```
SmRe2Si2B
1.0
-0.933 -3.756 1.719
4.053 -0.491 1.125
-0.998 2.365 4.627
Si B Re Sm
2 1 2 1
Direct
0.500 0.500 0.270
0.500 0.500 0.730
0.000 0.000 0.000
0.500 0.000 0.000
0.000 0.500 0.000
0.000 0.000 0.500
```

raw formation energy = -0.5009 eV per atom
SG = P4/mmm

Let's list uncorrected energy in order: -6.102 -1.274 -4.840 -3.130 -5.329 -2.107 -5.216 -8.357 eV per atom.
Let's list size of the total moment in order: 0.0 0.0 0.0 0.0 0.0 0.0 0.0 0.0 μB per formula unit.